Arrangement one

VASP calculation (GGA-PBE) on a relaxed structure of ZnTePCl2.

a = 5.372 Å, b = 5.372 Å, c = 5.117 Å
α = 90.00°, β = 90.00°, γ = 90.00°
Element x y z (fractional)
Cl1 0.500 0.000 0.000
P1 0.000 0.000 0.500
Te1 0.000 0.000 0.000
Cl2 0.000 0.500 0.000
Zn1 0.500 0.500 0.500

Calculated values
**SG**: P4/mmm, No. 123
**Calculated density**: 3.3 Mg/m³
**DOS(E_F)**: 4.2 states/eV/f.u.
**Crystal system**: tetragonal
**Size of the total moment**: 0.00 μB per cell



Arrangement two

VASP calculation (GGA-PBE) on a relaxed structure of ZnTePCl2.

a = 4.621 Å, b = 4.621 Å, c = 5.440 Å
α = 90.00°, β = 90.00°, γ = 90.00°
Element x y z (fractional)
Cl1 0.000 0.500 0.000
Cl2 0.500 0.000 0.000
Te1 0.500 0.500 0.500
Zn1 0.000 0.000 0.000
P1 0.000 0.000 0.500

Calculated values
**SG**: P4/mmm, No. 123
**Calculated density**: 4.2 Mg/m³
**DOS(E_F)**: 3.1 states/eV/f.u.
**Crystal system**: tetragonal
**Size of the total moment**: 0.80 μB per cell



Q: Which of them is the least stable? A: arrangement one.



Arrangement one

VASP calculation (GGA-PBE) on a relaxed structure of ZrTeP2Cl.

a = 5.097 Å, b = 5.097 Å, c = 4.851 Å
α = 90.00°, β = 90.00°, γ = 90.00°
Element x y z (fractional)
Te1 0.000 0.000 0.000
P1 0.000 0.500 0.000
Zr1 0.500 0.500 0.500
P2 0.500 0.000 0.000
Cl1 0.000 0.000 0.500

Calculated values
**SG**: P4/mmm, No. 123
**Calculated density**: 4.2 Mg/m³
**DOS(E_F)**: 5.6 states/eV/f.u.
**Crystal system**: tetragonal
**Size of the total moment**: 0.00 μB per cell



Arrangement two

VASP calculation (GGA-PBE) on a relaxed structure of ZrTeP2Cl.

a = 5.171 Å, b = 5.171 Å, c = 4.833 Å
α = 90.00°, β = 90.00°, γ = 90.00°
Element x y z (fractional)
Zr1 0.000 0.000 0.000
P1 0.000 0.500 0.000
Cl1 0.000 0.000 0.500
Te1 0.500 0.500 0.500
P2 0.500 0.000 0.000

Calculated values
**SG**: P4/mmm, No. 123
**Calculated density**: 4.1 Mg/m³
**DOS(E_F)**: 2.6 states/eV/f.u.
**Crystal system**: tetragonal
**Size of the total moment**: 0.00 μB per cell



Q: Which of them is the least stable? A: arrangement one.



Arrangement one

VASP calculation (GGA-PBE) on a relaxed structure of ZrTePCl2.

a = 4.874 Å, b = 4.874 Å, c = 5.486 Å
α = 90.00°, β = 90.00°, γ = 90.00°
Element x y z (fractional)
Cl1 0.000 0.500 0.000
Te1 0.500 0.500 0.500
P1 0.000 0.000 0.500
Zr1 0.000 0.000 0.000
Cl2 0.500 0.000 0.000

Calculated values
**SG**: P4/mmm, No. 123
**Calculated density**: 4.1 Mg/m³
**DOS(E_F)**: 5.3 states/eV/f.u.
**Crystal system**: tetragonal
**Size of the total moment**: 0.33 μB per cell



Arrangement two

VASP calculation (GGA-PBE) on a relaxed structure of ZrTePCl2.

a = 5.057 Å, b = 5.057 Å, c = 5.497 Å
α = 90.00°, β = 90.00°, γ = 90.00°
Element x y z (fractional)
Cl1 0.500 0.000 0.000
Te1 0.000 0.000 0.000
Zr1 0.500 0.500 0.500
P1 0.000 0.000 0.500
Cl2 0.000 0.500 0.000

Calculated values
**SG**: P4/mmm, No. 123
**Calculated density**: 3.8 Mg/m³
**DOS(E_F)**: 7.2 states/eV/f.u.
**Crystal system**: tetragonal
**Size of the total moment**: 1.93 μB per cell



Q: Which of them is the least stable? A: arrangement two.



Arrangement one

VASP calculation (GGA-PBE) on a relaxed structure of ThPCl.

a = 3.954 Å, b = 5.141 Å, c = 10.353 Å
α = 106.07°, β = 90.05°, γ = 112.48°
Element x y z (fractional)
P1 0.441 0.882 0.082
Th1 0.174 0.349 0.144
Th2 0.826 0.651 0.856
Cl1 0.806 0.613 0.340
P2 0.559 0.118 0.918
Cl2 0.194 0.387 0.660

Calculated values
**SG**: P-1, No. 2
**Calculated density**: 5.3 Mg/m³
**DOS(E_F)**: 1.6 states/eV/f.u.
**Crystal system**: triclinic
**Size of the total moment**: 0.00 μB per cell



Arrangement two

VASP calculation (GGA-PBE) on a relaxed structure of ThPCl.

a = 3.824 Å, b = 4.640 Å, c = 4.640 Å
α = 120.00°, β = 90.00°, γ = 90.00°
Element x y z (fractional)
P1 0.667 0.667 0.333
Th1 0.159 0.000 0.000
Cl1 0.173 0.333 0.667

Calculated values
**SG**: P3m1, No. 156
**Calculated density**: 6.9 Mg/m³
**DOS(E_F)**: 0.4 states/eV/f.u.
**Crystal system**: trigonal
**Size of the total moment**: 0.00 μB per cell



Q: Which of them is the least stable? A: arrangement two.



Arrangement one

VASP calculation (GGA-PBE) on a relaxed structure of ThPCl.

a = 4.602 Å, b = 9.872 Å, c = 10.342 Å
α = 76.65°, β = 102.86°, γ = 90.00°
Element x y z (fractional)
P1 0.293 0.610 0.585
Th1 0.346 0.864 0.691
P2 0.766 0.899 0.532
Th2 0.711 0.677 0.422
Cl1 0.407 0.109 0.814
P3 0.707 0.390 0.415
Th3 0.289 0.323 0.578
Th4 0.654 0.136 0.309
Cl2 0.593 0.891 0.186
P4 0.234 0.101 0.468
Cl3 0.064 0.223 0.127
Cl4 0.936 0.777 0.873

Calculated values
**SG**: C2/m, No. 12
**Calculated density**: 4.5 Mg/m³
**Crystal system**: monoclinic
**Size of the total moment**: 0.00 μB per cell



Arrangement two

VASP calculation (GGA-PBE) on a relaxed structure of ThPCl.

a = 3.806 Å, b = 3.806 Å, c = 5.296 Å
α = 111.06°, β = 111.06°, γ = 90.00°
Element x y z (fractional)
Cl1 0.330 0.330 0.659
Th1 0.658 0.658 0.316
P1 0.012 0.012 0.024

Calculated values
**SG**: I4mm, No. 107
**Calculated density**: 7.5 Mg/m³
**DOS(E_F)**: 1.5 states/eV/f.u.
**Crystal system**: tetragonal
**Size of the total moment**: 0.00 μB per cell



Q: Which of them is the least stable? A: arrangement two.



Arrangement one

VASP calculation (GGA-PBE) on a relaxed structure of TiP2Cl.

a = 4.519 Å, b = 4.519 Å, c = 4.519 Å
α = 60.00°, β = 60.00°, γ = 60.00°
Element x y z (fractional)
P1 0.250 0.250 0.250
Cl1 0.000 0.000 0.000
P2 0.750 0.750 0.750
Ti1 0.500 0.500 0.500

Calculated values
**SG**: Fm-3m, No. 225
**Calculated density**: 3.7 Mg/m³
**DOS(E_F)**: 7.7 states/eV/f.u.
**Crystal system**: cubic
**Size of the total moment**: 0.00 μB per cell



Arrangement two

VASP calculation (GGA-PBE) on a relaxed structure of TiP2Cl.

a = 3.669 Å, b = 3.669 Å, c = 10.432 Å
α = 79.87°, β = 79.87°, γ = 90.00°
Element x y z (fractional)
Cl1 0.250 0.750 0.500
Ti1 0.000 0.000 0.000
Cl2 0.500 0.500 0.000
P1 0.049 0.625 0.250
P2 0.875 0.951 0.750
P3 0.375 0.299 0.750
Ti2 0.750 0.250 0.500
P4 0.701 0.125 0.250

Calculated values
**SG**: I-42d, No. 122
**Calculated density**: 3.5 Mg/m³
**DOS(E_F)**: 3.2 states/eV/f.u.
**Crystal system**: tetragonal
**Size of the total moment**: 0.03 μB per cell



Q: Which of them is the least stable? A: arrangement one.